Entry from the Alexandria database: crystalline BaNiW2 at its relaxed geometry (PBE).

Summary:
The relative energy among the computed polymorphs is 1042 meV/atom. The formation energy comes out at 6.79 eV/f.u. The value obtained for the total energy is -26.82 eV for the cell shown. As for the total moment: 0.00 μB per atom. As for the volume: 17.9 Å³ per atom.

a = 4.660 Å, b = 4.660 Å, c = 4.660 Å
α = 60.00°, β = 60.00°, γ = 60.00°
Fractional positions:
1 W 0.250 0.250 0.250
2 W 0.750 0.750 0.750
3 Ni 0.000 0.000 0.000
4 Ba 0.500 0.500 0.500